Entry 1:
A plane-wave DFT calculation with PBE was carried out for a relaxed Cs2PaOsO6 crystal. Values from VASP.

Properties
The calculation puts the total energy at -7.236 eV per atom. The space group is Fm-3m (225).

```
&SYSTEM
  ibrav = 0, nat = 10, ntyp = 4
/
ATOMIC_SPECIES
Cs 132.91 Cs.upf
Pa 231.04 Pa.upf
Os 190.23 Os.upf
O 16.00 O.upf
ATOMIC_POSITIONS crystal
Cs 0.2500 0.2500 0.2500
Cs 0.7500 0.7500 0.7500
Pa 0.0000 0.0000 0.0000
Os 0.5000 0.5000 0.5000
O 0.2626 0.2626 0.7374
O 0.2626 0.7374 0.2626
O 0.2626 0.7374 0.7374
O 0.7374 0.2626 0.2626
O 0.7374 0.2626 0.7374
O 0.7374 0.7374 0.2626
CELL_PARAMETERS angstrom
0.0000 4.2612 4.2612
4.2612 0.0000 4.2612
4.2612 4.2612 0.0000
```

Entry 2:
A plane-wave DFT calculation with PBE was carried out for a relaxed CoTcCl2 crystal. Values from VASP.

Properties
The value obtained for the energy above the most stable polymorph in this dataset is 0.575 eV per atom. The space group is P2/m (10).

```
&SYSTEM
  ibrav = 0, nat = 4, ntyp = 3
/
ATOMIC_SPECIES
Co 58.93 Co.upf
Tc 98.00 Tc.upf
Cl 35.45 Cl.upf
ATOMIC_POSITIONS crystal
Co 0.0000 0.0000 0.0000
Tc 0.0000 0.0000 0.5000
Cl 0.2352 0.5000 0.7492
Cl 0.7648 0.5000 0.2508
CELL_PARAMETERS angstrom
3.2137 0.0000 0.0000
0.0000 3.8612 0.0000
-0.1975 0.0000 5.3520
```

Entry 3:
A plane-wave DFT calculation with PBE was carried out for a relaxed NdZrCu crystal. Values from VASP.

Properties
The value obtained for the energy above the most stable polymorph in this dataset is 0.059 eV per atom. The space group is I4mm (107). Its energy of formation from the pure elements is -0.014 eV per atom.

```
&SYSTEM
  ibrav = 0, nat = 3, ntyp = 3
/
ATOMIC_SPECIES
Nd 144.24 Nd.upf
Zr 91.22 Zr.upf
Cu 63.55 Cu.upf
ATOMIC_POSITIONS crystal
Nd 0.0000 0.0000 0.0000
Zr 0.2973 0.2973 0.0000
Cu 0.6812 0.6812 0.0000
CELL_PARAMETERS angstrom
-1.7075 1.7075 5.9515
1.7075 -1.7075 5.9515
1.7075 1.7075 -5.9515
```

Entry 4:
A plane-wave DFT calculation with PBE was carried out for a relaxed Hg5Bi2Pb2 crystal. Values from VASP.

Properties
The space group is Ima2 (46). Its energy of formation from the pure elements is 0.061 eV per atom.

```
&SYSTEM
  ibrav = 0, nat = 18, ntyp = 3
/
ATOMIC_SPECIES
Hg 200.59 Hg.upf
Bi 208.98 Bi.upf
Pb 207.20 Pb.upf
ATOMIC_POSITIONS crystal
Hg 0.1825 0.0815 0.2639
Hg 0.1825 0.4185 0.6010
Hg 0.2077 0.6505 0.8357
Hg 0.2077 0.8721 0.0572
Hg 0.3273 0.2549 0.5724
Hg 0.6825 0.7549 0.4276
Hg 0.8149 0.1505 0.9428
Hg 0.8149 0.3721 0.1643
Hg 0.8175 0.5815 0.3990
Hg 0.8175 0.9185 0.7361
Bi 0.4385 0.6492 0.0678
Bi 0.4385 0.8707 0.2893
Bi 0.5814 0.1492 0.7107
Bi 0.5814 0.3707 0.9322
Pb 0.0099 0.0099 0.0000
Pb 0.0099 0.5099 0.5000
Pb 0.0504 0.2608 0.2896
Pb 0.9712 0.7608 0.7104
CELL_PARAMETERS angstrom
-6.9753 8.6049 2.3914
6.9753 -8.6049 2.3914
6.9753 8.6049 -2.3914
```

Entry 5:
A plane-wave DFT calculation with PBE was carried out for a relaxed NaNbP2S crystal. Values from VASP.

Properties
The value obtained for the energy above the most stable polymorph in this dataset is 0.000 eV per atom. The space group is P4/mmm (123).

```
&SYSTEM
  ibrav = 0, nat = 5, ntyp = 4
/
ATOMIC_SPECIES
Na 22.99 Na.upf
Nb 92.91 Nb.upf
P 30.97 P.upf
S 32.06 S.upf
ATOMIC_POSITIONS crystal
Na 0.0000 0.0000 0.0000
Nb 0.5000 0.5000 0.5000
P 0.0000 0.5000 0.5000
P 0.5000 0.0000 0.5000
S 0.5000 0.5000 0.0000
CELL_PARAMETERS angstrom
4.8835 0.0000 0.0000
0.0000 4.8835 0.0000
0.0000 0.0000 4.8439
```

Entry 6:
A plane-wave DFT calculation with PBE was carried out for a relaxed Dy4Zn3Ga crystal. Values from VASP.

Properties
The value obtained for the energy above the most stable polymorph in this dataset is 0.038 eV per atom. The space group is Pmm2 (25). Its energy of formation from the pure elements is -0.370 eV per atom.

```
&SYSTEM
  ibrav = 0, nat = 8, ntyp = 3
/
ATOMIC_SPECIES
Dy 162.50 Dy.upf
Zn 65.41 Zn.upf
Ga 69.72 Ga.upf
ATOMIC_POSITIONS crystal
Dy 0.0000 0.0000 0.0000
Dy 0.0000 0.5000 0.3006
Dy 0.5000 0.0000 0.4962
Dy 0.5000 0.5000 0.8018
Zn 0.0000 0.5000 0.5796
Zn 0.5000 0.0000 0.2190
Zn 0.5000 0.5000 0.0801
Ga 0.0000 0.0000 0.7220
CELL_PARAMETERS angstrom
3.6829 0.0000 0.0000
0.0000 4.4676 0.0000
0.0000 0.0000 11.3463
```

Entry 7:
A plane-wave DFT calculation with PBE was carried out for a relaxed LiEr6Ir5 crystal. Values from VASP.

Properties
The space group is Immm (71). Its energy of formation from the pure elements is -0.806 eV per atom.

```
&SYSTEM
  ibrav = 0, nat = 12, ntyp = 3
/
ATOMIC_SPECIES
Li 6.94 Li.upf
Er 167.26 Er.upf
Ir 192.22 Ir.upf
ATOMIC_POSITIONS crystal
Li 0.0000 0.0000 0.0000
Er 0.0837 0.8304 0.2534
Er 0.2568 0.5000 0.7568
Er 0.4230 0.1696 0.2534
Er 0.5770 0.8304 0.7466
Er 0.7432 0.5000 0.2432
Er 0.9163 0.1696 0.7466
Ir 0.1627 0.6627 0.5000
Ir 0.3328 0.3328 0.0000
Ir 0.5000 0.0000 0.5000
Ir 0.6672 0.6672 0.0000
Ir 0.8373 0.3373 0.5000
CELL_PARAMETERS angstrom
-2.4058 3.4130 7.2659
2.4058 -3.4130 7.2659
2.4058 3.4130 -7.2659
```

Entry 8:
A plane-wave DFT calculation with PBE was carried out for a relaxed La3CeBi4 crystal. Values from VASP.

Properties
The space group is P2/c (13). Its energy of formation from the pure elements is -0.992 eV per atom.

```
&SYSTEM
  ibrav = 0, nat = 16, ntyp = 3
/
ATOMIC_SPECIES
La 138.91 La.upf
Ce 140.12 Ce.upf
Bi 208.98 Bi.upf
ATOMIC_POSITIONS crystal
La 0.0000 0.1249 0.2500
La 0.0000 0.3750 0.7500
La 0.0000 0.6250 0.2500
La 0.0000 0.8751 0.7500
La 0.5000 0.1251 0.7500
La 0.5000 0.8749 0.2500
Ce 0.5000 0.3749 0.2500
Ce 0.5000 0.6251 0.7500
Bi 0.2520 0.1276 0.0028
Bi 0.2520 0.8724 0.5028
Bi 0.2551 0.3777 0.4996
Bi 0.2551 0.6223 0.9996
Bi 0.7449 0.3777 0.0004
Bi 0.7449 0.6223 0.5004
Bi 0.7480 0.1276 0.4972
Bi 0.7480 0.8724 0.9972
CELL_PARAMETERS angstrom
8.1098 0.0000 0.0000
0.0000 9.3688 0.0000
-2.7030 0.0000 7.6451
```